# 1
AcNd2Dy5Tm | Alexandria via LeMat-Bulk | PBE-GGA | optimized geometry; total energy = -4.306 eV per atom
1.0
-4.425 4.425 7.800
4.425 -4.425 7.800
4.425 4.425 -7.800
Ac Nd Dy Tm
2 4 10 2
Direct
0.250 0.250 0.000 Ac
0.750 0.750 0.000 Ac
0.117 0.617 0.734 Nd
0.383 0.117 0.500 Nd
0.617 0.883 0.500 Nd
0.883 0.383 0.266 Nd
0.000 0.000 0.000 Dy
0.073 0.160 0.500 Dy
0.160 0.660 0.087 Dy
0.340 0.427 0.500 Dy
0.427 0.927 0.087 Dy
0.500 0.500 0.000 Dy
0.573 0.073 0.913 Dy
0.660 0.573 0.500 Dy
0.840 0.340 0.913 Dy
0.927 0.840 0.500 Dy
0.250 0.750 0.500 Tm
0.750 0.250 0.500 Tm

=====

# 2
ZnGa3S | Alexandria via LeMat-Bulk | PBE-GGA | optimized geometry; formation energy from raw total energies = 0.220 eV per atom; relative energy among the computed polymorphs = 0.000 eV per atom
1.0
4.805 0.000 0.000
0.000 4.805 0.000
0.000 0.000 4.805
Zn Ga S
1 3 1
Direct
0.000 0.000 0.000 Zn
0.000 0.000 0.500 Ga
0.000 0.500 0.000 Ga
0.500 0.000 0.000 Ga
0.500 0.500 0.500 S

=====

# 3
LiIn2Mo | Alexandria via LeMat-Bulk | PBE-GGA | optimized geometry; relative energy among the computed polymorphs = 0.257 eV per atom
1.0
3.695 0.000 0.000
0.000 3.695 0.000
0.000 0.000 5.768
Li In Mo
1 2 1
Direct
0.000 0.000 0.000 Li
0.000 0.000 0.444 In
0.500 0.500 0.778 In
0.500 0.500 0.268 Mo

=====

# 4
CaPtW | Alexandria via LeMat-Bulk | PBE-GGA | optimized geometry; total energy = -7.052 eV per atom
1.0
9.086 0.000 0.000
0.000 4.044 0.000
-3.938 0.000 6.856
Ca Pt W
4 4 4
Direct
0.249 0.000 0.166 Ca
0.251 0.500 0.834 Ca
0.749 0.500 0.166 Ca
0.751 0.000 0.834 Ca
0.000 0.000 0.500 Pt
0.000 0.500 0.000 Pt
0.500 0.000 0.000 Pt
0.500 0.500 0.500 Pt
0.151 0.500 0.410 W
0.349 0.000 0.590 W
0.651 0.000 0.410 W
0.849 0.500 0.590 W

=====

# 5
NiHgIr2 | Alexandria via LeMat-Bulk | PBE-GGA | optimized geometry; total energy = -5.589 eV per atom
1.0
2.815 0.000 0.000
-1.408 2.438 0.000
0.000 0.000 26.753
Ni Hg Ir
3 3 6
Direct
0.000 0.000 0.000 Ni
0.333 0.667 0.667 Ni
0.667 0.333 0.333 Ni
0.000 0.000 0.500 Hg
0.333 0.667 0.167 Hg
0.667 0.333 0.833 Hg
0.000 0.000 0.260 Ir
0.000 0.000 0.740 Ir
0.333 0.667 0.406 Ir
0.333 0.667 0.927 Ir
0.667 0.333 0.073 Ir
0.667 0.333 0.594 Ir

=====

# 6
NiAgCl3 | Alexandria via LeMat-Bulk | PBE-GGA | optimized geometry; formation energy from raw total energies = -0.493 eV per atom; relative energy among the computed polymorphs = 0.000 eV per atom
1.0
6.329 -5.748 0.000
6.329 5.748 0.000
-0.775 0.000 6.257
Ni Ag Cl
4 4 12
Direct
0.077 0.923 0.750 Ni
0.229 0.771 0.250 Ni
0.771 0.229 0.750 Ni
0.923 0.077 0.250 Ni
0.301 0.463 0.752 Ag
0.463 0.301 0.252 Ag
0.537 0.699 0.748 Ag
0.699 0.537 0.248 Ag
0.028 0.178 0.607 Cl
0.112 0.677 0.907 Cl
0.178 0.028 0.107 Cl
0.248 0.505 0.349 Cl
0.323 0.888 0.593 Cl
0.495 0.752 0.151 Cl
0.505 0.248 0.849 Cl
0.677 0.112 0.407 Cl
0.752 0.495 0.651 Cl
0.822 0.972 0.893 Cl
0.888 0.323 0.093 Cl
0.972 0.822 0.393 Cl

=====

| no. | mass density (g cm⁻³) |
| --- | --- |
| 1 | 8.14 |
| 2 | 4.59 |
| 3 | 7.01 |
| 4 | 11.05 |
| 5 | 17.46 |
| 6 | 3.98 |